(1)
DFT (PBE-GGA) results for a relaxed structure of Na3AcTl4.

Lattice parameters (Å, degrees): 5.4908 5.4908 27.7801 90.00 90.00 120.00
With the nearest neighbours (Å) after each atom.
Space group R-3m (No. 166, hexagonal axes)
Asymmetric unit:
Na 0.0000 0.0000 0.0000 [3 per cell]  8 Tl 3.30-3.35
Na 0.0000 0.0000 0.2523 [6 per cell]  8 Tl 3.34-3.71
Ac 0.0000 0.0000 0.5000 [3 per cell]  8 Tl 3.44-3.54
Tl 0.0000 0.0000 0.1187 [6 per cell]  4 Na 3.30-3.34, 3 Ac 3.44
Tl 0.0000 0.0000 0.3725 [6 per cell]  7 Na 3.34-3.38, 1 Ac 3.54

(2)
DFT (PBE-GGA) results for a relaxed structure of NaAcTl2.

Output
* polymorph energy (0 for the lowest one): 78.6 kJ/mol of formula units

Lattice parameters (Å, degrees): 3.8413 3.8413 31.8043 90.00 90.00 120.00
With the nearest neighbours (Å) after each atom.
Space group R3m (No. 160, hexagonal axes)
Asymmetric unit:
Na 0.0000 0.0000 0.0000 [3 per cell]  6 Tl 3.32-3.33
Ac 0.0000 0.0000 0.1668 [3 per cell]  6 Tl 3.59, 6 Ac 3.84
Tl 0.0000 0.0000 0.5889 [3 per cell]  3 Na 3.32, 3 Ac 3.59
Tl 0.0000 0.0000 0.7447 [3 per cell]  3 Na 3.33, 3 Ac 3.59

(3)
DFT (PBE-GGA) results for a relaxed structure of Na2AcTl2.

Output
* polymorph energy (0 for the lowest one): 9.8 kJ/mol of formula units

Lattice parameters (Å, degrees): 4.5649 4.5649 15.6281 90.00 90.00 90.00
With the nearest neighbours (Å) after each atom.
Space group I4/mmm (No. 139)
Asymmetric unit:
Na 0.0000 0.5000 0.2500 [4 per cell]  4 Tl 3.23, 4 Na 3.23
Ac 0.0000 0.0000 0.0000 [2 per cell]  8 Tl 3.61
Tl 0.0000 0.0000 0.3959 [4 per cell]  4 Na 3.23, 1 Tl 3.25

(4)
DFT (PBE-GGA) results for a relaxed structure of Na2AcTl.

Lattice parameters (Å, degrees): 4.2410 4.2410 7.5099 90.00 90.00 90.00
With the nearest neighbours (Å) after each atom.
Space group P4/mmm (No. 123)
Asymmetric unit:
Na 0.0000 0.0000 0.2031 [2 per cell]  1 Na 3.05, 4 Tl 3.36
Ac 0.5000 0.5000 0.5000 [1 per cell]  8 Na 3.74, 2 Tl 3.75
Tl 0.5000 0.5000 0.0000 [1 per cell]  8 Na 3.36, 2 Ac 3.75

(5)
DFT (PBE-GGA) results for a relaxed structure of NaAcTl3.

Output
* polymorph energy (0 for the lowest one): 0.0 kJ/mol of formula units

Lattice parameters (Å, degrees): 8.3762 4.0422 10.1889 90.00 90.00 90.00
With the nearest neighbours (Å) after each atom.
Space group Pmma (No. 51)
Asymmetric unit:
Na 0.2500 0.0000 0.1184 [2 per cell]  6 Tl 3.24-3.32
Ac 0.2500 0.0000 0.5689 [2 per cell]  10 Tl 3.47-3.68
Tl 0.0609 0.5000 0.3249 [4 per cell]  2 Tl 3.17-3.28, 2 Na 3.32, 2 Ac 3.47
Tl 0.2500 0.5000 0.8701 [2 per cell]  2 Na 3.24, 2 Tl 3.28

(6)
DFT (PBE-GGA) results for a relaxed structure of NaAcTl3.

Output
* polymorph energy (0 for the lowest one): 5.8 kJ/mol of formula units

Lattice parameters (Å, degrees): 5.6530 6.7240 8.9600 90.00 108.17 90.00
With the nearest neighbours (Å) after each atom.
Space group P2_1/m (No. 11)
Asymmetric unit:
Na 0.0889 0.2500 0.1710 [2 per cell]  5 Tl 3.09-3.37
Ac 0.3020 0.2500 0.6009 [2 per cell]  6 Tl 3.33-3.52, 1 Na 3.66
Tl 0.0953 0.7500 0.1920 [2 per cell]  3 Na 3.09-3.37, 2 Ac 3.33
Tl 0.3187 0.7500 0.6445 [2 per cell]  2 Na 3.23-3.24, 4 Ac 3.38-3.52, 2 Tl 3.46
Tl 0.5000 0.0000 0.0000 [2 per cell]  8 Tl 3.36-3.67, 4 Na 3.58-3.62

(7)
DFT (PBE-GGA) results for a relaxed structure of NaAc2Tl3.

Output
* polymorph energy (0 for the lowest one): 0.0 kJ/mol of formula units

Lattice parameters (Å, degrees): 5.7127 5.7127 14.1006 90.00 90.00 120.00
With the nearest neighbours (Å) after each atom.
Space group P-3m1 (No. 164)
Asymmetric unit:
Na 0.3333 0.6667 0.1629 [2 per cell]  8 Tl 3.40-3.51
Ac 0.0000 0.0000 0.0000 [1 per cell]  8 Tl 3.47-3.48
Ac 0.0000 0.0000 0.5000 [1 per cell]  8 Tl 3.53-3.58
Ac 0.3333 0.6667 0.6801 [2 per cell]  8 Tl 3.41-3.79
Tl 0.0000 0.0000 0.2461 [2 per cell]  5 Ac 3.46-3.58, 3 Na 3.50
Tl 0.3333 0.6667 0.4109 [2 per cell]  1 Na 3.50, 7 Ac 3.53-3.79
Tl 0.3333 0.6667 0.9217 [2 per cell]  4 Na 3.40-3.51, 4 Ac 3.41-3.48

(8)
DFT (PBE-GGA) results for a relaxed structure of NaAc4Tl4.

Lattice parameters (Å, degrees): 9.6827 9.6827 7.0241 90.00 90.00 90.00
With the nearest neighbours (Å) after each atom.
Space group P4_2/n (No. 86, origin choice 2)
Asymmetric unit:
Na 0.2500 0.2500 0.2500 [2 per cell]  4 Tl 2.89
Ac 0.0271 0.6695 0.1233 [8 per cell]  5 Tl 3.31-3.65
Tl 0.0120 0.6503 0.6074 [8 per cell]  1 Na 2.89

(9)
DFT (PBE-GGA) results for a relaxed structure of NaAc2Tl.

Lattice parameters (Å, degrees): 5.7867 5.7867 4.3453 90.00 90.00 90.00
With the nearest neighbours (Å) after each atom.
Space group P4/mmm (No. 123)
Asymmetric unit:
Na 0.0000 0.0000 0.0000 [1 per cell]  8 Ac 3.62
Ac 0.0000 0.5000 0.5000 [2 per cell]  4 Tl 3.62, 4 Na 3.62
Tl 0.5000 0.5000 0.0000 [1 per cell]  8 Ac 3.62

(10)
DFT (PBE-GGA) results for a relaxed structure of NaAc5Tl4.

Lattice parameters (Å, degrees): 4.1414 4.1414 21.1307 90.00 90.00 90.00
With the nearest neighbours (Å) after each atom.
Space group P4/mmm (No. 123)
Asymmetric unit:
Na 0.0000 0.0000 0.0000 [1 per cell]  8 Ac 3.79, 4 Na 4.14
Ac 0.5000 0.5000 0.1135 [2 per cell]  4 Tl 3.50, 4 Na 3.79
Ac 0.5000 0.5000 0.3046 [2 per cell]  8 Tl 3.59-3.62
Ac 0.5000 0.5000 0.5000 [1 per cell]  8 Tl 3.57
Tl 0.0000 0.0000 0.2042 [2 per cell]  8 Ac 3.50-3.62
Tl 0.0000 0.0000 0.4030 [2 per cell]  8 Ac 3.57-3.59

(11)
DFT (PBE-GGA) results for a relaxed structure of NaAcTl4.

Output
* polymorph energy (0 for the lowest one): 0.0 kJ/mol of formula units

Lattice parameters (Å, degrees): 3.8215 5.2458 9.4232 90.00 91.71 90.00
With the nearest neighbours (Å) after each atom.
Space group Pm (No. 6)
Asymmetric unit:
Na 0.0000 0.0000 0.0000 [1 per cell]  6 Tl 3.36-3.42
Ac 0.0004 0.5000 0.5019 [1 per cell]  10 Tl 3.49-3.80, 2 Ac 3.82
Tl 0.3813 0.5000 0.8449 [1 per cell]  3 Tl 3.07-3.19, 2 Na 3.36
Tl 0.4104 0.0000 0.3271 [1 per cell]  3 Tl 3.19-3.32, 1 Na 3.42, 2 Ac 3.49
Tl 0.5856 0.0000 0.6741 [1 per cell]  3 Tl 3.19-3.32, 1 Na 3.41, 2 Ac 3.49
Tl 0.6252 0.5000 0.1584 [1 per cell]  3 Tl 3.07-3.19, 2 Na 3.36

(12)
DFT (PBE-GGA) results for a relaxed structure of NaAc5Tl3.

Lattice parameters (Å, degrees): 10.2120 10.2120 7.3577 90.00 90.00 120.00
With the nearest neighbours (Å) after each atom.
Space group P6_3/mcm (No. 193)
Asymmetric unit:
Na 0.0000 0.0000 0.0000 [2 per cell]  2 Na 3.68, 6 Ac 3.73, 6 Tl 3.96
Ac 0.0000 0.3178 0.2500 [6 per cell]  5 Tl 3.38-3.69, 2 Na 3.73
Ac 0.3333 0.6667 0.0000 [4 per cell]  8 Ac 3.68-3.94, 6 Tl 3.82
Tl 0.0000 0.3435 0.7500 [6 per cell]  5 Ac 3.38-3.69

(13)
DFT (PBE-GGA) results for a relaxed structure of Na2AcTl.

Lattice parameters (Å, degrees): 4.8973 4.8973 5.9495 90.00 90.00 90.00
With the nearest neighbours (Å) after each atom.
Space group P4/mmm (No. 123)
Asymmetric unit:
Na 0.0000 0.5000 0.0000 [2 per cell]  4 Na 3.46, 4 Ac 3.85, 4 Tl 3.85
Ac 0.0000 0.0000 0.5000 [1 per cell]  4 Tl 3.46, 8 Na 3.85
Tl 0.5000 0.5000 0.5000 [1 per cell]  4 Ac 3.46, 8 Na 3.85

(14)
DFT (PBE-GGA) results for a relaxed structure of NaAc5Tl8.

Lattice parameters (Å, degrees): 9.9921 9.9921 9.7435 90.00 90.00 90.00
With the nearest neighbours (Å) after each atom.
Space group I-4 (No. 82)
Asymmetric unit:
Na 0.0000 0.0000 0.0000 [2 per cell]  8 Tl 3.15-3.25
Ac 0.0000 0.5000 0.2500 [2 per cell]  8 Tl 3.48-3.50
Ac 0.1143 0.7472 0.6142 [8 per cell]  8 Tl 3.42-3.54
Tl 0.0757 0.8391 0.2666 [8 per cell]  1 Na 3.15, 1 Tl 3.36, 3 Ac 3.47-3.51
Tl 0.0824 0.6884 0.9587 [8 per cell]  1 Na 3.25, 1 Tl 3.36, 5 Ac 3.42-3.52

(15)
DFT (PBE-GGA) results for a relaxed structure of NaAcTl.

Output
* polymorph energy (0 for the lowest one): 11.6 kJ/mol of formula units

Lattice parameters (Å, degrees): 5.5442 5.5442 3.7477 90.00 90.00 120.00
With the nearest neighbours (Å) after each atom.
Space group P3m1 (No. 156)
Asymmetric unit:
Na 0.0000 0.0000 0.0000 [1 per cell]  3 Tl 3.20
Ac 0.3333 0.6667 0.5017 [1 per cell]  6 Na 3.71, 6 Tl 3.71, 2 Ac 3.75
Tl 0.6667 0.3333 0.0030 [1 per cell]  3 Na 3.20

(16)
DFT (PBE-GGA) results for a relaxed structure of NaAcTl4.

Output
* polymorph energy (0 for the lowest one): 8.6 kJ/mol of formula units

Lattice parameters (Å, degrees): 12.4630 3.9751 8.0854 90.00 109.96 90.00
With the nearest neighbours (Å) after each atom.
Space group C2/m (No. 12)
Asymmetric unit:
Na 0.0000 0.0000 0.0000 [2 per cell]  10 Tl 3.43-3.79
Ac 0.0000 0.0000 0.5000 [2 per cell]  10 Tl 3.53-3.83
Tl 0.1733 0.5000 0.3282 [4 per cell]  4 Tl 3.36-3.42, 2 Na 3.43, 2 Ac 3.55
Tl 0.1765 0.5000 0.8468 [4 per cell]  4 Tl 3.22-3.36, 2 Na 3.49, 2 Ac 3.53

(17)
DFT (PBE-GGA) results for a relaxed structure of NaAcTm2Tl4.

Lattice parameters (Å, degrees): 5.3945 5.3945 27.7086 90.00 90.00 120.00
With the nearest neighbours (Å) after each atom.
Space group R-3m (No. 166, hexagonal axes)
Asymmetric unit:
Na 0.0000 0.0000 0.0000 [3 per cell]  8 Tl 3.26-3.28
Ac 0.0000 0.0000 0.5000 [3 per cell]  8 Tl 3.40-3.58
Tm 0.0000 0.0000 0.2556 [6 per cell]  7 Tl 3.19-3.31
Tl 0.0000 0.0000 0.1178 [6 per cell]  1 Na 3.26, 3 Tm 3.31, 3 Ac 3.40
Tl 0.0000 0.0000 0.3708 [6 per cell]  4 Tm 3.19-3.31, 3 Na 3.28

(18)
DFT (PBE-GGA) results for a relaxed structure of NaAcYTl.

Lattice parameters (Å, degrees): 8.0233 8.0233 8.0233 90.00 90.00 90.00
With the nearest neighbours (Å) after each atom.
Space group F-43m (No. 216)
Asymmetric unit:
Na 0.0000 0.0000 0.0000 [4 per cell]  4 Ac 3.47, 4 Y 3.47
Ac 0.2500 0.2500 0.7500 [4 per cell]  4 Tl 3.47, 4 Na 3.47
Y 0.2500 0.2500 0.2500 [4 per cell]  4 Tl 3.47, 4 Na 3.47
Tl 0.0000 0.0000 0.5000 [4 per cell]  4 Ac 3.47, 4 Y 3.47

(19)
DFT (PBE-GGA) results for a relaxed structure of NaAcY2Tl4.

Lattice parameters (Å, degrees): 5.4317 5.4317 27.8589 90.00 90.00 120.00
With the nearest neighbours (Å) after each atom.
Space group R-3m (No. 166, hexagonal axes)
Asymmetric unit:
Na 0.0000 0.0000 0.0000 [3 per cell]  8 Tl 3.30-3.31
Ac 0.0000 0.0000 0.5000 [3 per cell]  8 Tl 3.41-3.57
Y 0.0000 0.0000 0.2565 [6 per cell]  7 Tl 3.21-3.34
Tl 0.0000 0.0000 0.1186 [6 per cell]  1 Na 3.30, 3 Y 3.34, 3 Ac 3.41
Tl 0.0000 0.0000 0.3718 [6 per cell]  4 Y 3.21-3.31, 3 Na 3.31, 1 Ac 3.57

(20)
DFT (PBE-GGA) results for a relaxed structure of NaAcTlZn.

Lattice parameters (Å, degrees): 7.7638 7.7638 7.7638 90.00 90.00 90.00
With the nearest neighbours (Å) after each atom.
Space group F-43m (No. 216)
Asymmetric unit:
Na 0.0000 0.0000 0.0000 [4 per cell]  4 Zn 3.36, 4 Tl 3.36
Ac 0.0000 0.0000 0.5000 [4 per cell]  4 Tl 3.36, 4 Zn 3.36
Tl 0.2500 0.2500 0.7500 [4 per cell]  4 Na 3.36, 4 Ac 3.36
Zn 0.2500 0.2500 0.2500 [4 per cell]  4 Ac 3.36, 4 Na 3.36

Computed ΔH_f (0 K), in the same sequence as the records: -1.40 -0.32 -0.70 0.19 -0.71 -0.65 -1.83 -1.50 -0.38 -2.44 -1.04 -1.85 -0.01 -3.51 -0.39 -0.95 -1.96 -0.27 -2.27 -0.68 eV per formula unit.